Run 1
DFT (PBE) results for crystalline MgC at its relaxed geometry.

Results
total magnetic moment: 0.000 μB/f.u.
SG: No. 194

abc: 2.6417 2.6417 22.6777
angles: 90.00 90.00 120.00
Fractional positions:
Mg (0.3333, 0.6667, 0.0635)
Mg (0.3333, 0.6667, 0.4365)
Mg (0.6667, 0.3333, 0.5635)
Mg (0.6667, 0.3333, 0.9365)
C (0.0000, 0.0000, 0.2500)
C (0.0000, 0.0000, 0.7500)
C (0.3333, 0.6667, 0.7500)
C (0.6667, 0.3333, 0.2500)

***

Run 2
DFT (PBE) results for crystalline MgC at its relaxed geometry.

Results
total magnetic moment: 0.000 μB/f.u.
SG: No. 227

abc: 4.1157 4.1157 4.1157
angles: 60.00 60.00 60.00
Fractional positions:
Mg (0.1250, 0.1250, 0.1250)
Mg (0.8750, 0.8750, 0.8750)
C (0.3750, 0.3750, 0.3750)
C (0.6250, 0.6250, 0.6250)

***

Run 3
DFT (PBE) results for crystalline MgC at its relaxed geometry.

Results
total magnetic moment: 0.000 μB/f.u.
SG: No. 225

abc: 3.2687 3.2687 3.2687
angles: 60.00 60.00 60.00
Fractional positions:
Mg (0.0000, 0.0000, 0.0000)
C (0.5000, 0.5000, 0.5000)

***

Run 4
DFT (PBE) results for crystalline MgC at its relaxed geometry.

Results
total magnetic moment: 1.248 μB/f.u.
SG: No. 223

abc: 6.2031 6.2031 6.2031
angles: 90.00 90.00 90.00
Fractional positions:
Mg (0.0000, 0.2500, 0.5000)
Mg (0.0000, 0.7500, 0.5000)
Mg (0.2500, 0.5000, 0.0000)
Mg (0.5000, 0.0000, 0.2500)
Mg (0.5000, 0.0000, 0.7500)
Mg (0.7500, 0.5000, 0.0000)
C (0.0000, 0.5000, 0.2500)
C (0.0000, 0.5000, 0.7500)
C (0.2500, 0.0000, 0.5000)
C (0.5000, 0.2500, 0.0000)
C (0.5000, 0.7500, 0.0000)
C (0.7500, 0.0000, 0.5000)

***

The most stable arrangement is run 1, and the next structure is 777 meV per atom less stable.

***

Run 1
DFT (PBE) results for crystalline MgC at its relaxed geometry.

Results
total magnetic moment: 0.000 μB/f.u.
SG: No. 70

abc: 6.0206 5.5159 5.4850
angles: 66.36 57.07 56.57
Fractional positions:
Mg (0.1049, 0.1049, 0.6451)
Mg (0.3549, 0.3549, 0.8951)
Mg (0.6451, 0.6451, 0.1049)
Mg (0.8951, 0.8951, 0.3549)
C (0.2994, 0.4506, 0.2994)
C (0.4506, 0.2994, 0.4506)
C (0.5494, 0.7006, 0.5494)
C (0.7006, 0.5494, 0.7006)

***

Run 2
DFT (PBE) results for crystalline MgC at its relaxed geometry.

Results
total magnetic moment: 0.000 μB/f.u.
SG: No. 12

abc: 6.4245 6.4245 3.1067
angles: 91.96 91.96 27.64
Fractional positions:
Mg (0.1263, 0.1263, 0.0192)
Mg (0.8737, 0.8737, 0.9808)
C (0.4475, 0.4475, 0.4953)
C (0.5525, 0.5525, 0.5047)

***

The most stable arrangement is run 1, and the next structure is 14 meV per atom less stable.